[1]
VASP calculation (GGA-PBE) on an optimized crystal structure of BaNaSr4.

The structure in CIF format:
```
data_BaNaSr4
_symmetry_space_group_name_H-M 'P 1'
_symmetry_Int_Tables_number 1
_symmetry_space_group_name_Hall 'P 1'
_cell_length_a 4.531
_cell_length_b 4.531
_cell_length_c 15.647
_cell_angle_alpha 90.00
_cell_angle_beta 90.00
_cell_angle_gamma 90.00
loop_
_atom_site_label
_atom_site_type_symbol
_atom_site_fract_x
_atom_site_fract_y
_atom_site_fract_z
_atom_site_occupancy
Ba1 Ba 0.000 0.000 0.000 1
Na1 Na 0.500 0.500 0.500 1
Sr1 Sr 0.500 0.500 0.184 1
Sr2 Sr 0.000 0.000 0.643 1
Sr3 Sr 0.000 0.000 0.357 1
Sr4 Sr 0.500 0.500 0.816 1
```

Calculated values
ΔE_f in eV per atom: 0.010
E above lowest polymorph in eV/atom: 0.000


[2]
VASP calculation (GGA-PBE) on an optimized crystal structure of BaLiBiPd3.

The structure in CIF format:
```
data_BaLiBiPd3
_symmetry_space_group_name_H-M 'P 1'
_symmetry_Int_Tables_number 1
_symmetry_space_group_name_Hall 'P 1'
_cell_length_a 7.078
_cell_length_b 6.091
_cell_length_c 6.942
_cell_angle_alpha 116.02
_cell_angle_beta 90.00
_cell_angle_gamma 90.00
loop_
_atom_site_label
_atom_site_type_symbol
_atom_site_fract_x
_atom_site_fract_y
_atom_site_fract_z
_atom_site_occupancy
Ba1 Ba 0.750 0.307 0.615 1
Ba2 Ba 0.250 0.693 0.385 1
Li1 Li 0.250 0.935 0.870 1
Li2 Li 0.750 0.065 0.130 1
Bi1 Bi 0.250 0.373 0.746 1
Bi2 Bi 0.750 0.627 0.254 1
Pd1 Pd 0.250 0.145 0.289 1
Pd2 Pd 0.000 0.250 0.000 1
Pd3 Pd 0.500 0.750 0.000 1
Pd4 Pd 0.500 0.250 0.000 1
Pd5 Pd 0.000 0.750 0.000 1
Pd6 Pd 0.750 0.855 0.711 1
```

Calculated values
ΔE_f in eV per atom: -0.414


[3]
VASP calculation (GGA-PBE) on an optimized crystal structure of Dy2Ge2BRu2.

The structure in CIF format:
```
data_Dy2Ge2BRu2
_symmetry_space_group_name_H-M 'P 1'
_symmetry_Int_Tables_number 1
_symmetry_space_group_name_Hall 'P 1'
_cell_length_a 4.234
_cell_length_b 5.928
_cell_length_c 5.904
_cell_angle_alpha 72.01
_cell_angle_beta 68.99
_cell_angle_gamma 69.08
loop_
_atom_site_label
_atom_site_type_symbol
_atom_site_fract_x
_atom_site_fract_y
_atom_site_fract_z
_atom_site_occupancy
Dy1 Dy 0.562 0.172 0.704 1
Dy2 Dy 0.438 0.828 0.296 1
Ge1 Ge 0.156 0.388 0.300 1
Ge2 Ge 0.844 0.612 0.700 1
B1 B 0.000 0.000 0.000 1
Ru1 Ru 0.210 0.686 0.894 1
Ru2 Ru 0.790 0.314 0.106 1
```

Calculated values
ΔE_f in eV per atom: -0.728


[4]
VASP calculation (GGA-PBE) on an optimized crystal structure of Tb2NdTl.

The structure in CIF format:
```
data_Tb2NdTl
_symmetry_space_group_name_H-M 'P 1'
_symmetry_Int_Tables_number 1
_symmetry_space_group_name_Hall 'P 1'
_cell_length_a 3.664
_cell_length_b 6.751
_cell_length_c 10.411
_cell_angle_alpha 90.00
_cell_angle_beta 90.00
_cell_angle_gamma 105.74
loop_
_atom_site_label
_atom_site_type_symbol
_atom_site_fract_x
_atom_site_fract_y
_atom_site_fract_z
_atom_site_occupancy
Tb1 Tb 0.366 0.733 0.527 1
Tb2 Tb 0.634 0.267 0.473 1
Tb3 Tb 0.366 0.733 0.973 1
Tb4 Tb 0.634 0.267 0.027 1
Nd1 Nd 0.958 0.917 0.250 1
Nd2 Nd 0.042 0.083 0.750 1
Tl1 Tl 0.761 0.522 0.750 1
Tl2 Tl 0.239 0.478 0.250 1
```

Calculated values
ΔE_f in eV per atom: -0.178
E above lowest polymorph in eV/atom: 0.011


Question: The lowest ΔE_f belongs to which entry?
Answer: Dy2Ge2BRu2


Please write out number 4 again, unchanged.
VASP calculation (GGA-PBE) on an optimized crystal structure of Tb2NdTl.

The structure in CIF format:
```
data_Tb2NdTl
_symmetry_space_group_name_H-M 'P 1'
_symmetry_Int_Tables_number 1
_symmetry_space_group_name_Hall 'P 1'
_cell_length_a 3.664
_cell_length_b 6.751
_cell_length_c 10.411
_cell_angle_alpha 90.00
_cell_angle_beta 90.00
_cell_angle_gamma 105.74
loop_
_atom_site_label
_atom_site_type_symbol
_atom_site_fract_x
_atom_site_fract_y
_atom_site_fract_z
_atom_site_occupancy
Tb1 Tb 0.366 0.733 0.527 1
Tb2 Tb 0.634 0.267 0.473 1
Tb3 Tb 0.366 0.733 0.973 1
Tb4 Tb 0.634 0.267 0.027 1
Nd1 Nd 0.958 0.917 0.250 1
Nd2 Nd 0.042 0.083 0.750 1
Tl1 Tl 0.761 0.522 0.750 1
Tl2 Tl 0.239 0.478 0.250 1
```

Calculated values
ΔE_f in eV per atom: -0.178
E above lowest polymorph in eV/atom: 0.011